--- i ---
An optimized crystal structure of BaAg2Pt, computed with GGA-PBEsol.

Cell lengths 3.5159, 3.4969, 7.1842 Å; angles 90.00, 90.00, 90.00 degrees
Atoms (fractional coordinates):
Ag: 0.5000 0.5000 0.1826
Ag: 0.0000 0.0000 0.9934
Ba: 0.0000 0.0000 0.5234
Pt: 0.5000 0.5000 0.8006

Magnetization: 0.0 μB per formula unit


--- ii ---
An optimized crystal structure of BaAg2Pt, computed with GGA-PBEsol.

Cell lengths 4.6496, 4.6496, 5.9923 Å; angles 67.17, 67.17, 60.00 degrees
Atoms (fractional coordinates):
Ag: 0.6939 0.6939 0.9182
Ag: 0.9899 0.9899 0.0302
Pt: 0.3066 0.3066 0.0801
Ba: 0.5011 0.5011 0.4966

Magnetization: 0.0 μB per formula unit


Most favorable first, least favorable last: ii, i


--- i ---
An optimized crystal structure of BaSc2Ag, computed with GGA-PBEsol.

Cell lengths 3.6878, 5.1769, 5.1769 Å; angles 96.78, 90.00, 90.00 degrees
Atoms (fractional coordinates):
Ag: 0.5000 0.0000 0.0000
Sc: 0.0000 0.5000 0.0000
Sc: 0.0000 0.0000 0.5000
Ba: 0.5000 0.5000 0.5000

Magnetization: 0.0 μB per formula unit


--- ii ---
An optimized crystal structure of BaSc2Ag, computed with GGA-PBEsol.

Cell lengths 3.6489, 3.6489, 8.2233 Å; angles 90.00, 90.00, 90.00 degrees
Site moments in Bohr magnetons follow the coordinates.
Atoms (fractional coordinates):
Sc: 0.0000 0.0000 0.0613  0.21
Sc: 0.5000 0.5000 0.2803  0.20
Ba: 0.5000 0.5000 0.7196  0.00
Ag: 0.0000 0.0000 0.4388  0.00

Magnetization: 0.6 μB per formula unit


Most favorable first, least favorable last: ii, i


--- i ---
An optimized crystal structure of Ba2TaAg, computed with GGA-PBEsol.

Cell lengths 3.4090, 5.7859, 6.6648 Å; angles 110.35, 104.82, 90.00 degrees
Atoms (fractional coordinates):
Ta: 0.4576 0.4910 0.9152
Ba: 0.0266 0.0533 0.0532
Ba: 0.2282 0.7049 0.4565
Ag: 0.7876 0.2508 0.5751

Magnetization: 0.0 μB per formula unit


--- ii ---
An optimized crystal structure of Ba2TaAg, computed with GGA-PBEsol.

Cell lengths 3.5999, 4.9798, 7.0358 Å; angles 90.00, 104.82, 90.00 degrees
Atoms (fractional coordinates):
Ta: 0.7969 0.0000 0.5938
Ba: 0.3979 0.5000 0.7958
Ba: 0.0885 0.0000 0.1770
Ag: 0.6988 0.5000 0.3975

Magnetization: 0.0 μB per formula unit


Most favorable first, least favorable last: i, ii